Entry 1:
SrNdTlBr6, optimized geometry, DFT PBE; SG = P-31c; density of states at the Fermi level = 0.0 states/eV/f.u.; uncorrected formation energy = -1.743 eV/atom; DFT total energy = -69.08 eV/cell
1.0
7.797 0.000 0.000
-3.899 6.752 0.000
0.000 0.000 14.145
Br Tl Sr Nd
12 2 2 2
Direct
0.357 0.372 0.868 Br
0.372 0.357 0.368 Br
0.015 0.643 0.868 Br
0.357 0.985 0.632 Br
0.643 0.015 0.368 Br
0.628 0.643 0.632 Br
0.372 0.015 0.132 Br
0.643 0.628 0.132 Br
0.628 0.985 0.868 Br
0.985 0.628 0.368 Br
0.985 0.357 0.132 Br
0.015 0.372 0.632 Br
0.000 0.000 0.000 Tl
0.000 0.000 0.500 Tl
0.667 0.333 0.750 Sr
0.333 0.667 0.250 Sr
0.333 0.667 0.750 Nd
0.667 0.333 0.250 Nd


Entry 2:
SiIr2O, optimized geometry, DFT PBE; SG = Fm-3m; distance to the lowest polymorph of the same formula = 0.015 eV per atom; density of states at the Fermi level = 3.1 states/eV/f.u.; uncorrected formation energy = 0.025 eV/atom; DFT total energy = -28.00 eV/cell
1.0
-1.338 -3.847 -0.445
-3.049 -0.820 -2.611
0.765 -2.047 -3.465
O Ir Si
1 2 1
Direct
0.000 0.000 0.000 O
0.250 0.250 0.250 Ir
0.750 0.750 0.750 Ir
0.500 0.500 0.500 Si


Entry 3:
Hg3Au12Se5, optimized geometry, DFT PBE; SG = Ia-3d; density of states at the Fermi level = 6.3 states/eV/f.u.; uncorrected formation energy = 0.149 eV/atom; DFT total energy = -218.68 eV/cell
1.0
-6.414 4.285 11.228
1.216 -13.563 0.362
12.378 5.655 -0.596
Au Hg Se
48 12 20
Direct
0.941 0.582 0.166 Au
0.859 0.275 0.441 Au
0.441 0.666 0.082 Au
0.418 0.359 0.584 Au
0.666 0.225 0.584 Au
0.334 0.559 0.418 Au
0.916 0.834 0.775 Au
0.141 0.725 0.559 Au
0.334 0.775 0.416 Au
0.941 0.359 0.275 Au
0.275 0.859 0.941 Au
0.441 0.775 0.859 Au
0.359 0.418 0.084 Au
0.859 0.584 0.918 Au
0.084 0.166 0.225 Au
0.584 0.859 0.418 Au
0.141 0.416 0.082 Au
0.584 0.725 0.666 Au
0.559 0.225 0.141 Au
0.225 0.666 0.084 Au
0.275 0.416 0.834 Au
0.775 0.441 0.359 Au
0.416 0.141 0.582 Au
0.416 0.275 0.334 Au
0.641 0.059 0.225 Au
0.834 0.916 0.275 Au
0.916 0.082 0.641 Au
0.725 0.141 0.059 Au
0.666 0.441 0.582 Au
0.725 0.584 0.166 Au
0.775 0.334 0.916 Au
0.359 0.941 0.775 Au
0.582 0.941 0.666 Au
0.834 0.918 0.059 Au
0.166 0.082 0.941 Au
0.084 0.918 0.359 Au
0.225 0.559 0.641 Au
0.059 0.418 0.834 Au
0.082 0.166 0.441 Au
0.082 0.916 0.141 Au
0.641 0.582 0.916 Au
0.418 0.059 0.334 Au
0.059 0.641 0.725 Au
0.918 0.084 0.859 Au
0.918 0.834 0.559 Au
0.582 0.641 0.416 Au
0.166 0.084 0.725 Au
0.559 0.334 0.918 Au
0.625 0.375 0.750 Hg
0.250 0.125 0.375 Hg
0.125 0.250 0.875 Hg
0.750 0.375 0.125 Hg
0.125 0.875 0.750 Hg
0.875 0.750 0.125 Hg
0.375 0.625 0.250 Hg
0.250 0.625 0.875 Hg
0.375 0.750 0.625 Hg
0.625 0.250 0.375 Hg
0.875 0.125 0.250 Hg
0.750 0.875 0.625 Hg
0.000 0.000 0.000 Se
0.000 0.000 0.500 Se
0.125 0.750 0.375 Se
0.500 0.500 0.000 Se
0.500 0.000 0.500 Se
0.875 0.625 0.750 Se
0.250 0.375 0.625 Se
0.500 0.000 0.000 Se
0.000 0.500 0.500 Se
0.375 0.250 0.125 Se
0.750 0.125 0.875 Se
0.375 0.125 0.750 Se
0.625 0.875 0.250 Se
0.875 0.250 0.625 Se
0.750 0.625 0.375 Se
0.125 0.375 0.250 Se
0.500 0.500 0.500 Se
0.250 0.875 0.125 Se
0.625 0.750 0.875 Se
0.000 0.500 0.000 Se


Entry 4:
TiNb2H, optimized geometry, DFT PBE; SG = R-3m; distance to the lowest polymorph of the same formula = 0.357 eV per atom; density of states at the Fermi level = 3.4 states/eV/f.u.; DFT total energy = -30.51 eV/cell
1.0
2.888 0.000 0.000
1.444 2.501 0.000
1.444 0.834 8.064
Nb Ti H
2 1 1
Direct
0.889 0.889 0.333 Nb
0.111 0.111 0.667 Nb
0.000 0.000 0.000 Ti
0.500 0.500 0.500 H


Entry 5:
Fe3HI, optimized geometry, DFT PBE; SG = Pm-3m; distance to the lowest polymorph of the same formula = 0.000 eV per atom; density of states at the Fermi level = 2.9 states/eV/f.u.; DFT total energy = -26.69 eV/cell
1.0
3.738 0.000 0.000
0.000 3.738 0.000
0.000 0.000 3.738
Fe I H
3 1 1
Direct
0.500 0.000 0.000 Fe
0.000 0.000 0.500 Fe
0.000 0.500 0.000 Fe
0.500 0.500 0.500 I
0.000 0.000 0.000 H


Entry 6:
Ba2NaHg2, optimized geometry, DFT PBE; SG = P4/mbm; energy of formation = -400 meV/atom; distance to the lowest polymorph of the same formula = 0.000 eV per atom; density of states at the Fermi level = 4.2 states/eV/f.u.; DFT total energy = -15.54 eV/cell
1.0
-6.386 -3.680 5.674
-0.361 -7.607 -5.340
3.286 -1.891 2.472
Na Ba Hg
2 4 4
Direct
0.000 0.000 0.000 Na
0.500 0.500 0.000 Na
0.339 0.161 0.500 Ba
0.839 0.339 0.500 Ba
0.161 0.661 0.500 Ba
0.661 0.839 0.500 Ba
0.135 0.365 0.000 Hg
0.865 0.635 0.000 Hg
0.365 0.865 0.000 Hg
0.635 0.135 0.000 Hg